! LiAcTlGe | Alexandria | PBE-GGA | optimized geometry; values from VASP
! - calculated formation energy (eV per atom) = -0.3072
! - SG = No. 216
! - total magnetization (μB per cell) = 0.0
&SYSTEM
  ibrav = 0, nat = 4, ntyp = 4
/
ATOMIC_SPECIES
Tl 204.38 Tl.upf
Ac 227.00 Ac.upf
Li 6.94 Li.upf
Ge 72.64 Ge.upf
CELL_PARAMETERS angstrom
5.358 0.000 0.000
2.679 4.640 0.000
2.679 1.547 4.375
ATOMIC_POSITIONS angstrom
Tl 8.037 4.640 3.281
Ac 0.000 0.000 0.000
Li 5.358 3.093 2.187
Ge 2.679 1.547 1.094